## DyLuBePt (PBE)

Data for crystalline DyLuBePt at its relaxed geometry.

## Properties
E_tot = -5.308 eV per atom
energy of formation = -0.585 eV/atom
volume = 20.2 A^3/atom

Lattice parameters (Å, degrees): 4.852 4.852 4.852 60.00 60.00 60.00
Positions (direct):
Dy 0.000 0.000 0.000
Lu 0.500 0.500 0.500
Pt 0.750 0.750 0.750
Be 0.250 0.250 0.250

=====

## ThTiNi2Sb2 (PBE)

Data for crystalline ThTiNi2Sb2 at its relaxed geometry.

## Properties
E_tot = -6.467 eV per atom
volume = 19.4 A^3/atom
E_form (uncorrected) = -0.61 eV/atom

Lattice parameters (Å, degrees): 4.346 4.346 7.119 90.00 90.00 120.00
Positions (direct):
Ni 0.333 0.667 0.665
Th 0.000 0.000 0.000
Sb 0.333 0.667 0.279
Sb 0.667 0.333 0.721
Ti 0.000 0.000 0.500
Ni 0.667 0.333 0.335

=====

## Na2GaSnS4 (PBE)

Data for crystalline Na2GaSnS4 at its relaxed geometry.

## Properties
E_tot = -4.026 eV per atom
volume = 27.0 A^3/atom
E_form (uncorrected) = -0.75 eV/atom

Lattice parameters (Å, degrees): 6.396 6.396 6.950 117.42 117.42 89.99
Each line ends with the local moment (μB).
Positions (direct):
Sn 0.736 0.736 0.472  0.15
S 0.664 0.596 0.740  0.09
Na 0.486 0.986 0.972  0.00
S 0.328 0.808 0.204  0.09
Ga 0.986 0.486 0.972  0.01
S 0.875 0.396 0.204  0.09
Na 0.236 0.236 0.472  0.00
S 0.076 0.144 0.740  0.09

=====

## LiLuCuGe (PBE)

Data for crystalline LiLuCuGe at its relaxed geometry.

## Properties
E_tot = -4.172 eV per atom
energy of formation = -0.385 eV/atom
volume = 17.6 A^3/atom

Lattice parameters (Å, degrees): 4.631 4.631 4.631 60.00 60.00 60.00
Positions (direct):
Cu 0.250 0.250 0.250
Lu 0.000 0.000 0.000
Li 0.500 0.500 0.500
Ge 0.750 0.750 0.750